Na2LaSiSn: relaxed, PBE.

## Properties
E_tot = -3.18 eV per atom
total magnetic moment = 0.000 μB/atom
formation energy (no corrections) = 223 meV/atom

Cell lengths 5.300, 5.464, 5.300 Å; angles 90.00, 90.00, 90.00 degrees
Fractional coordinates of all 5 atoms:
Na  0.000  0.000  0.500
Na  0.500  0.000  0.000
Si  0.000  0.000  0.000
Sn  0.000  0.500  0.000
La  0.500  0.500  0.500